This record from Alexandria via LeMat-Bulk describes a relaxed La2TcAuN crystal. The functional is PBE.

Computed properties:
The value obtained for the uncorrected formation energy is -75 kJ/mol of atoms. The density is 8962 kg/m³. As for the space group: No. 123. For the total energy, the calculation gives -7.14 eV per atom.

a = 5.2809 Å, b = 5.2809 Å, c = 3.8987 Å
α = 90.00°, β = 90.00°, γ = 90.00°
Element x y z (fractional)
La 0.0000 0.5000 0.0000
La 0.5000 0.0000 0.0000
Tc 0.0000 0.0000 0.5000
Au 0.5000 0.5000 0.5000
N 0.0000 0.0000 0.0000